# AcEr3Ag4 PBE-GGA relaxed
# Crystal system   tetragonal
# Calculated formation energy   -0.278 eV per atom
# Total magnetic moment   0.00 μB per formula unit
data_AcEr3Ag4
_chemical_formula_sum 'Ac1 Er3 Ag4'
_symmetry_space_group_name_H-M 'P 4/m m m'
_symmetry_Int_Tables_number 123
_symmetry_space_group_name_Hall '-P 4 2'
_cell_length_a 5.2272
_cell_length_b 5.2272
_cell_length_c 7.4173
_cell_angle_alpha 90.00
_cell_angle_beta 90.00
_cell_angle_gamma 90.00
loop_
_atom_site_label
_atom_site_fract_x
_atom_site_fract_y
_atom_site_fract_z
Ac1 0.0000 0.0000 0.0000
Er1 0.0000 0.0000 0.5000
Er2 0.5000 0.5000 0.0000
Er3 0.5000 0.5000 0.5000
Ag1 0.0000 0.5000 0.2745

---

# AcGdErAg PBE-GGA relaxed
# Crystal system   cubic
# Calculated formation energy   0.174 eV per atom
# Total magnetic moment   8.33 μB per formula unit
data_AcGdErAg
_chemical_formula_sum 'Ac4 Gd4 Er4 Ag4'
_symmetry_space_group_name_H-M 'F -4 3 m'
_symmetry_Int_Tables_number 216
_symmetry_space_group_name_Hall 'F -4 2 3'
_cell_length_a 7.8396
_cell_length_b 7.8396
_cell_length_c 7.8396
_cell_angle_alpha 90.00
_cell_angle_beta 90.00
_cell_angle_gamma 90.00
loop_
_atom_site_label
_atom_site_fract_x
_atom_site_fract_y
_atom_site_fract_z
Ac1 0.0000 0.0000 0.0000
Gd1 0.2500 0.2500 0.7500
Er1 0.2500 0.2500 0.2500
Ag1 0.0000 0.0000 0.5000

---

# AcEr2AgHg4 PBE-GGA relaxed
# Crystal system   trigonal
# Calculated formation energy   -0.357 eV per atom
# Total magnetic moment   0.00 μB per formula unit
data_AcEr2AgHg4
_chemical_formula_sum 'Ac3 Er6 Ag3 Hg12'
_symmetry_space_group_name_H-M 'R -3 m'
_symmetry_Int_Tables_number 166
_symmetry_space_group_name_Hall '-R 3 2"'
_cell_length_a 5.0584
_cell_length_b 5.0584
_cell_length_c 28.8787
_cell_angle_alpha 90.00
_cell_angle_beta 90.00
_cell_angle_gamma 120.00
loop_
_atom_site_label
_atom_site_fract_x
_atom_site_fract_y
_atom_site_fract_z
Ac1 0.0000 0.0000 0.0000
Er1 0.0000 0.0000 0.2322
Ag1 0.0000 0.0000 0.5000
Hg1 0.0000 0.0000 0.1251
Hg2 0.0000 0.0000 0.3931

---

# AcErInAg PBE-GGA relaxed
# Energy above the lowest structure with this stoichiometry   0.000 eV/atom
# Crystal system   tetragonal
# Calculated formation energy   -0.358 eV per atom
# Total magnetic moment   0.00 μB per formula unit
data_AcErInAg
_chemical_formula_sum 'Ac1 Er1 In1 Ag1'
_symmetry_space_group_name_H-M 'P 4 m m'
_symmetry_Int_Tables_number 99
_cell_length_a 3.7683
_cell_length_b 3.7683
_cell_length_c 8.0338
_cell_angle_alpha 90.00
_cell_angle_beta 90.00
_cell_angle_gamma 90.00
loop_
_symmetry_equiv_pos_as_xyz
'x,y,z'
'-y,x,z'
'-x,-y,z'
'y,-x,z'
'-x,y,z'
'y,x,z'
'x,-y,z'
'-y,-x,z'
loop_
_atom_site_label
_atom_site_fract_x
_atom_site_fract_y
_atom_site_fract_z
Ac1 0.0000 0.0000 0.0000
Er1 0.0000 0.0000 0.4758
In1 0.5000 0.5000 0.7107
Ag1 0.5000 0.5000 0.2865

---

# AcEr2In2Ag2 PBE-GGA relaxed
# Crystal system   trigonal
# Calculated formation energy   -0.313 eV per atom
# Total magnetic moment   0.00 μB per formula unit
data_AcEr2In2Ag2
_chemical_formula_sum 'Ac3 Er6 In6 Ag6'
_symmetry_space_group_name_H-M 'R -3 m'
_symmetry_Int_Tables_number 166
_symmetry_space_group_name_Hall '-R 3 2"'
_cell_length_a 4.9239
_cell_length_b 4.9239
_cell_length_c 27.3396
_cell_angle_alpha 90.00
_cell_angle_beta 90.00
_cell_angle_gamma 120.00
loop_
_atom_site_label
_atom_site_fract_x
_atom_site_fract_y
_atom_site_fract_z
Ac1 0.0000 0.0000 0.0000
Er1 0.0000 0.0000 0.1333
In1 0.0000 0.0000 0.2538
Ag1 0.0000 0.0000 0.4322

---

# AcErInAg PBE-GGA relaxed
# Energy above the lowest structure with this stoichiometry   0.049 eV/atom
# Crystal system   cubic
# Calculated formation energy   -0.308 eV per atom
# Total magnetic moment   0.00 μB per formula unit
data_AcErInAg
_chemical_formula_sum 'Ac4 Er4 In4 Ag4'
_symmetry_space_group_name_H-M 'F -4 3 m'
_symmetry_Int_Tables_number 216
_symmetry_space_group_name_Hall 'F -4 2 3'
_cell_length_a 7.7669
_cell_length_b 7.7669
_cell_length_c 7.7669
_cell_angle_alpha 90.00
_cell_angle_beta 90.00
_cell_angle_gamma 90.00
loop_
_atom_site_label
_atom_site_fract_x
_atom_site_fract_y
_atom_site_fract_z
Ac1 0.0000 0.0000 0.0000
Er1 0.0000 0.0000 0.5000
In1 0.2500 0.2500 0.2500
Ag1 0.2500 0.2500 0.7500